(1)
Computed, not measured: crystalline Mn3CuBr8 at its relaxed geometry at the PBE level of DFT.

a = 7.6122 Å, b = 7.6122 Å, c = 8.3313 Å
α = 118.80°, β = 118.80°, γ = 61.70°
Sites, in units of the cell vectors:
Mn1 0.0000 0.0000 0.0000
Mn2 0.0000 0.5000 0.0000
Mn3 0.5000 0.0000 0.0000
Cu1 0.5000 0.5000 0.0000
Br1 0.2326 0.7478 0.2179
Br2 0.2470 0.2470 0.2240
Br3 0.2522 0.7674 0.7821
Br4 0.2694 0.2694 0.7918
Br5 0.7306 0.7306 0.2082
Br6 0.7478 0.2326 0.2179
Br7 0.7530 0.7530 0.7760
Br8 0.7674 0.2522 0.7821

Values from the calculation:
The value obtained for the density of states at the Fermi level is 0.928 states/eV/atom. The calculation puts the total magnetization at 15.09 μB/f.u. The formation energy without anion corrections comes out at -0.646 eV/atom. As for the crystal system: monoclinic. For the calculated total energy, the calculation gives -4.40 eV/atom. For the calculated density, the calculation gives 4.1 g/cm3.

(2)
Computed, not measured: crystalline MnCuBr at its relaxed geometry at the PBE level of DFT.

a = 4.4489 Å, b = 4.4489 Å, c = 4.4489 Å
α = 60.00°, β = 60.00°, γ = 60.00°
Sites, in units of the cell vectors:
Mn1 0.0000 0.0000 0.0000
Cu1 0.2500 0.2500 0.2500
Br1 0.5000 0.5000 0.5000

Values from the calculation:
The value obtained for the density of states at the Fermi level is 0.442 states/eV/atom. The calculation puts the total magnetization at 4.47 μB/f.u. The formation energy without anion corrections comes out at 0.634 eV/atom. As for the crystal system: cubic. For the calculated total energy, the calculation gives -4.35 eV/atom. As for the energy above the most stable polymorph in this dataset: 1.27 eV per formula unit. For the calculated density, the calculation gives 5.3 g/cm3.

(3)
Computed, not measured: crystalline MnCuMo2Br at its relaxed geometry at the PBE level of DFT.

a = 4.5228 Å, b = 4.5228 Å, c = 4.6599 Å
α = 90.00°, β = 90.00°, γ = 90.00°
Sites, in units of the cell vectors:
Mn1 0.0000 0.0000 0.0000
Cu1 0.5000 0.5000 0.5000
Mo1 0.0000 0.5000 0.0000
Mo2 0.5000 0.0000 0.0000
Br1 0.0000 0.0000 0.5000

Values from the calculation:
The value obtained for the density of states at the Fermi level is 1.254 states/eV/atom. The calculation puts the total magnetization at 1.67 μB/f.u. The formation energy without anion corrections comes out at 1.510 eV/atom. As for the crystal system: tetragonal. For the calculated total energy, the calculation gives -5.81 eV/atom. For the calculated density, the calculation gives 6.8 g/cm3.

(4)
Computed, not measured: crystalline NaMn2CuBr8 at its relaxed geometry at the PBE level of DFT.

a = 6.9548 Å, b = 6.9548 Å, c = 8.8741 Å
α = 90.00°, β = 90.00°, γ = 120.00°
Sites, in units of the cell vectors:
Na1 0.0000 0.0000 0.0000
Mn1 0.3333 0.6667 0.7415
Mn2 0.6667 0.3333 0.2585
Cu1 0.0000 0.0000 0.5000
Br1 0.0179 0.3058 0.6767
Br2 0.2879 0.9821 0.6767
Br3 0.3058 0.2879 0.3233
Br4 0.3333 0.6667 0.0079
Br5 0.6667 0.3333 0.9921
Br6 0.6942 0.7121 0.6767
Br7 0.7121 0.0179 0.3233
Br8 0.9821 0.6942 0.3233

Values from the calculation:
The value obtained for the density of states at the Fermi level is 0.455 states/eV/atom. The calculation puts the total magnetization at 8.00 μB/f.u. The formation energy without anion corrections comes out at -0.655 eV/atom. As for the crystal system: trigonal. For the calculated total energy, the calculation gives -3.75 eV/atom. For the calculated density, the calculation gives 3.7 g/cm3.